[1]
Compound: SrPaO3
Source: OQMD via LeMat-Bulk
Functional: PBE
Structure: relaxed

Lattice parameters (Å, degrees): 6.110 6.110 4.504 90.00 90.00 90.00
Fractional coordinates of all 10 atoms:
Sr  0.000  0.500  0.000
Sr  0.500  0.000  0.000
Pa  0.000  0.000  0.500
Pa  0.500  0.500  0.500
O  0.000  0.000  0.000
O  0.165  0.335  0.500
O  0.335  0.835  0.500
O  0.500  0.500  0.000
O  0.665  0.165  0.500
O  0.835  0.665  0.500

[2]
Compound: TbPaO4
Source: OQMD via LeMat-Bulk
Functional: PBE
Structure: relaxed

Lattice parameters (Å, degrees): 6.598 6.598 6.598 131.70 131.70 70.70
Fractional coordinates of all 12 atoms:
Tb  0.375  0.625  0.750
Tb  0.625  0.375  0.250
Pa  0.125  0.875  0.250
Pa  0.875  0.125  0.750
O  0.000  0.241  0.241
O  0.000  0.759  0.759
O  0.241  0.000  0.741
O  0.241  0.500  0.241
O  0.500  0.241  0.741
O  0.500  0.759  0.259
O  0.759  0.000  0.259
O  0.759  0.500  0.759

[3]
Compound: Tb2PaO4
Source: OQMD via LeMat-Bulk
Functional: PBE
Structure: relaxed

Lattice parameters (Å, degrees): 6.860 6.860 6.860 119.81 119.81 90.33
Fractional coordinates of all 14 atoms:
Tb  0.000  0.000  0.000
Tb  0.000  0.000  0.500
Tb  0.000  0.500  0.000
Tb  0.500  0.000  0.500
Pa  0.375  0.625  0.750
Pa  0.625  0.375  0.250
O  0.217  0.240  0.977
O  0.237  0.760  0.477
O  0.240  0.217  0.477
O  0.240  0.763  0.023
O  0.760  0.237  0.977
O  0.760  0.783  0.523
O  0.763  0.240  0.523
O  0.783  0.760  0.023

Raw total energy for every record listed, in sequence, given in eV per atom: -8.040, -9.013, -8.319.
Size of the total moment for every record listed, in sequence, given in μB per formula unit: 1.00, 0.00, 1.31.